--- A ---
Pr2CdPt: relaxed, PBE.

The structure in POSCAR format:
```
Pr2CdPt
1.0
5.297 0.000 0.000
2.648 4.587 0.000
2.648 1.529 4.325
Pr Cd Pt
2 1 1
Direct
0.250 0.250 0.250
0.750 0.750 0.750
0.000 0.000 0.000
0.500 0.500 0.500
```

Summary:
crystal system	cubic

--- B ---
Pr2CdPt: relaxed, PBE.

The structure in POSCAR format:
```
Pr2CdPt
1.0
3.728 0.000 0.000
0.000 3.728 0.000
0.000 0.000 7.655
Cd Pt Pr
1 1 2
Direct
0.500 0.500 0.500
0.500 0.500 0.000
0.000 0.000 0.224
0.000 0.000 0.776
```

Summary:
crystal system	tetragonal

Which structure is the least stable? The one labeled A.

--- A ---
PrCd3Pt8: relaxed, PBE.

The structure in POSCAR format:
```
PrCd3Pt8
1.0
5.416 0.000 0.000
2.708 4.691 0.000
2.708 1.564 8.809
Pt Cd Pr
8 3 1
Direct
0.939 0.439 0.182
0.688 0.688 0.935
0.189 0.189 0.434
0.939 0.435 0.687
0.939 0.939 0.687
0.439 0.939 0.182
0.439 0.439 0.182
0.435 0.939 0.687
0.371 0.371 0.886
0.489 0.489 0.533
0.005 0.005 0.984
0.877 0.877 0.370
```

Summary:
crystal system	trigonal

--- B ---
PrCd3Pt8: relaxed, PBE.

The structure in POSCAR format:
```
PrCd3Pt8
1.0
-0.922 4.172 3.360
-3.426 -0.995 -4.101
-4.705 -5.228 5.200
Pt Cd Pr
8 3 1
Direct
0.671 0.835 0.249
0.503 0.006 0.752
0.165 0.835 0.249
0.503 0.497 0.752
0.994 0.497 0.752
0.333 0.667 0.999
0.333 0.667 0.500
0.165 0.329 0.249
0.667 0.333 0.051
0.000 0.000 0.960
0.667 0.333 0.416
0.000 0.000 0.573
```

Summary:
crystal system	trigonal

Which structure is the least stable? The one labeled B.

--- A ---
Pr2PuCd: relaxed, PBE.

The structure in POSCAR format:
```
Pr2PuCd
1.0
-0.038 -3.501 1.064
3.543 -0.300 -0.863
2.279 2.550 8.472
Pr Pu Cd
2 1 1
Direct
0.000 0.000 0.236
0.000 0.000 0.764
0.500 0.500 0.500
0.500 0.500 0.000
```

Summary:
crystal system	tetragonal

--- B ---
Pr2PuCd: relaxed, PBE.

The structure in POSCAR format:
```
Pr2PuCd
1.0
-0.745 2.291 2.493
-3.303 0.648 0.828
-1.021 -7.907 9.372
Pr Cd Pu
2 1 1
Direct
0.908 0.908 0.276
0.092 0.092 0.724
0.500 0.500 0.500
0.000 0.000 0.000
```

Summary:
crystal system	trigonal

--- C ---
Pr2PuCd: relaxed, PBE.

The structure in POSCAR format:
```
Pr2PuCd
1.0
-5.260 1.817 0.037
-3.996 -3.093 2.331
-2.348 1.626 4.776
Pr Pu Cd
2 1 1
Direct
0.750 0.750 0.750
0.250 0.250 0.250
0.000 0.000 0.000
0.500 0.500 0.500
```

Summary:
crystal system	cubic

Which structure is the least stable? The one labeled B.

--- A ---
PrPu2Cd: relaxed, PBE.

The structure in POSCAR format:
```
PrPu2Cd
1.0
5.294 0.000 0.000
0.000 4.608 0.000
0.000 0.000 4.608
Pu Pr Cd
2 1 1
Direct
0.000 0.000 0.500
0.000 0.500 0.000
0.500 0.000 0.000
0.500 0.500 0.500
```

Summary:
crystal system	tetragonal

--- B ---
PrPu2Cd: relaxed, PBE.

The structure in POSCAR format:
```
PrPu2Cd
1.0
4.171 0.000 0.000
0.000 4.171 0.000
0.000 0.000 6.726
Cd Pr Pu
1 1 2
Direct
0.500 0.500 0.000
0.500 0.500 0.500
0.000 0.000 0.229
0.000 0.000 0.771
```

Summary:
crystal system	tetragonal

Which structure is the least stable? The one labeled B.